DFT (PBE) results for a geometry-optimized BaSr2CdH structure.

a b c (Å): 5.4330 5.4330 5.6953
angles (deg): 90.00 90.00 90.00
Last column: nearest neighbours and their distance in Å.
Positions (direct):
Ba (0.0000, 0.0000, 0.0000)  2 H 2.85
Sr (0.0000, 0.5000, 0.5000)  2 H 2.72
Sr (0.5000, 0.0000, 0.5000)  2 H 2.72
Cd (0.5000, 0.5000, 0.0000)  4 Ba 3.84, 8 Sr 3.94
H (0.0000, 0.0000, 0.5000)  4 Sr 2.72, 2 Ba 2.85

## Properties
raw total energy: -2.11 eV per atom
mass density: 4.21 g cm⁻³
SG: P4/mmm